A plane-wave DFT calculation with GGA-PBEsol was carried out for crystalline SrAu3F at its relaxed geometry.

Cell lengths 5.7130, 5.7130, 5.7130 Å; angles 90.00, 90.00, 90.00 degrees
Atoms (fractional coordinates):
Sr 0.0000 0.0000 0.0000
Au 0.0000 0.5000 0.0000
Au 0.0000 0.0000 0.5000
Au 0.5000 0.0000 0.0000
F 0.5000 0.5000 0.5000

Values from the calculation:
As for the symmetry: Pm-3m (221). The value obtained for the density of states at the Fermi level is 8.8 states/eV/cell. The calculation puts the total energy at -11.099 eV/f.u.

A plane-wave DFT calculation with GGA-PBEsol was carried out for crystalline In3NiAs at its relaxed geometry.

Cell lengths 4.8473, 4.8473, 4.8473 Å; angles 90.00, 90.00, 90.00 degrees
Atoms (fractional coordinates):
Ni 0.0000 0.0000 0.0000
As 0.5000 0.5000 0.5000
In 0.0000 0.5000 0.0000
In 0.0000 0.0000 0.5000
In 0.5000 0.0000 0.0000

Values from the calculation:
As for the symmetry: Pm-3m (221). The value obtained for the density of states at the Fermi level is 3.1 states/eV/cell. The calculation puts the total energy at -19.471 eV/f.u.

A plane-wave DFT calculation with GGA-PBEsol was carried out for crystalline In3TcIr at its relaxed geometry.

Cell lengths 5.0261, 5.0261, 5.0261 Å; angles 90.00, 90.00, 90.00 degrees
Atoms (fractional coordinates):
Ir 0.0000 0.0000 0.0000
Tc 0.5000 0.5000 0.5000
In 0.0000 0.5000 0.0000
In 0.0000 0.0000 0.5000
In 0.5000 0.0000 0.0000

Values from the calculation:
As for the symmetry: Pm-3m (221). The value obtained for the density of states at the Fermi level is 3.8 states/eV/cell. The calculation puts the total energy at -25.303 eV/f.u.

A plane-wave DFT calculation with GGA-PBEsol was carried out for crystalline LiInOs2 at its relaxed geometry.

Cell lengths 2.9630, 2.9630, 6.4961 Å; angles 90.00, 90.00, 90.00 degrees
Atoms (fractional coordinates):
In 0.0000 0.0000 0.5231
Li 0.5000 0.5000 0.7668
Os 0.0000 0.0000 0.9857
Os 0.5000 0.5000 0.2245

Values from the calculation:
As for the symmetry: P4mm (99). The value obtained for the density of states at the Fermi level is 0.4 states/eV/cell. The calculation puts the total energy at -28.794 eV/f.u.

A plane-wave DFT calculation with GGA-PBEsol was carried out for crystalline Al2InBr at its relaxed geometry.

Cell lengths 3.2925, 5.2702, 5.9143 Å; angles 116.46, 106.16, 90.00 degrees
Atoms (fractional coordinates):
Al 0.7509 0.7509 0.5018
Al 0.2491 0.2491 0.4982
Br 0.0000 0.5000 0.0000
In 0.5000 0.0000 0.0000

Values from the calculation:
As for the symmetry: Immm (71). The value obtained for the density of states at the Fermi level is 2.1 states/eV/cell. Its energy above the most stable polymorph in this dataset is 0.0179 eV per atom.

A plane-wave DFT calculation with GGA-PBEsol was carried out for crystalline LuZn2 at its relaxed geometry.

Cell lengths 4.3423, 5.4551, 5.4551 Å; angles 76.31, 66.55, 66.55 degrees
Atoms (fractional coordinates):
Zn 0.1658 0.3758 0.2925
Zn 0.8342 0.2075 0.1242
Zn 0.8342 0.6242 0.7075
Zn 0.1658 0.7925 0.8758
Lu 0.4705 0.7795 0.2795
Lu 0.5295 0.2205 0.7205

Values from the calculation:
As for the symmetry: Imma (74). The value obtained for the density of states at the Fermi level is 3.1 states/eV/cell. The calculation puts the total energy at -9.230 eV/f.u.

A plane-wave DFT calculation with GGA-PBEsol was carried out for crystalline MgSbTe2Ru at its relaxed geometry.

Cell lengths 5.1564, 5.2397, 5.2397 Å; angles 90.00, 90.00, 90.00 degrees
Atoms (fractional coordinates):
Sb 0.5000 0.0000 0.0000
Mg 0.0000 0.0000 0.0000
Te 0.0000 0.0000 0.5000
Te 0.0000 0.5000 0.0000
Ru 0.5000 0.5000 0.5000

Values from the calculation:
As for the symmetry: P4/mmm (123). The value obtained for the density of states at the Fermi level is 8.8 states/eV/cell. The calculation puts the total energy at -17.206 eV/f.u.

A plane-wave DFT calculation with GGA-PBEsol was carried out for crystalline Ba3Sr2Re3ClO15 at its relaxed geometry.

Cell lengths 7.6765, 10.6630, 10.6630 Å; angles 120.00, 90.00, 90.00 degrees
Atoms (fractional coordinates):
Ba 0.2748 0.0000 0.2591
Ba 0.2748 0.2591 0.0000
Ba 0.7748 0.0000 0.7409
Ba 0.7748 0.7409 0.0000
Ba 0.2748 0.7409 0.7409
Ba 0.7748 0.2591 0.2591
Sr 0.0250 0.3333 0.6667
Sr 0.5250 0.6667 0.3333
Sr 0.5250 0.3333 0.6667
Sr 0.0250 0.6667 0.3333
Re 0.3294 0.0000 0.6083
Re 0.3294 0.6083 0.0000
Re 0.8294 0.0000 0.3917
Re 0.8294 0.3917 0.0000
Re 0.3294 0.3917 0.3917
Re 0.8294 0.6083 0.6083
Cl 0.4995 0.0000 0.0000
Cl 0.9995 0.0000 0.0000
O 0.2812 0.4179 0.8629
O 0.2812 0.4451 0.5821
O 0.7812 0.5821 0.1371
O 0.7812 0.1371 0.5821
O 0.2812 0.1371 0.5549
O 0.7812 0.5549 0.4179
O 0.7812 0.4179 0.5549
O 0.2812 0.8629 0.4179
O 0.7812 0.8629 0.4451
O 0.2812 0.5821 0.4451
O 0.7812 0.4451 0.8629
O 0.2812 0.5549 0.1371
O 0.4775 0.6051 0.8630
O 0.4775 0.2579 0.3949
O 0.9775 0.3949 0.1370
O 0.9775 0.1370 0.3949
O 0.4775 0.1370 0.7421
O 0.9775 0.7421 0.6051
O 0.9775 0.6051 0.7421
O 0.4775 0.8630 0.6051
O 0.9775 0.8630 0.2579
O 0.4775 0.3949 0.2579
O 0.9775 0.2579 0.8630
O 0.4775 0.7421 0.1370
O 0.1555 0.0000 0.7152
O 0.1555 0.7152 0.0000
O 0.6555 0.0000 0.2848
O 0.6555 0.2848 0.0000
O 0.1555 0.2848 0.2848
O 0.6555 0.7152 0.7152

Values from the calculation:
As for the symmetry: P6_3cm (185). The value obtained for the density of states at the Fermi level is 0.0 states/eV/cell. The calculation puts the total energy at -186.648 eV/f.u.

A plane-wave DFT calculation with GGA-PBEsol was carried out for crystalline Ta3FeS6 at its relaxed geometry.

Cell lengths 5.6608, 5.6608, 11.4274 Å; angles 90.00, 90.00, 120.00 degrees
Atoms (fractional coordinates):
Ta 0.0000 0.0000 0.0000
Ta 0.0000 0.0000 0.5000
Ta 0.3333 0.6667 0.9962
Ta 0.6667 0.3333 0.0038
Ta 0.6667 0.3333 0.4962
Ta 0.3333 0.6667 0.5038
Fe 0.3333 0.6667 0.2500
Fe 0.6667 0.3333 0.7500
S 0.6647 0.6682 0.3620
S 0.0035 0.3353 0.3620
S 0.3318 0.9965 0.3620
S 0.6682 0.6647 0.6380
S 0.3353 0.0035 0.6380
S 0.9965 0.3318 0.6380
S 0.3353 0.3318 0.8620
S 0.9965 0.6647 0.8620
S 0.6682 0.0035 0.8620
S 0.3318 0.3353 0.1380
S 0.6647 0.9965 0.1380
S 0.0035 0.6682 0.1380

Values from the calculation:
As for the symmetry: P6_322 (182). The value obtained for the density of states at the Fermi level is 7.0 states/eV/cell. The calculation puts the total energy at -83.950 eV/f.u.

A plane-wave DFT calculation with GGA-PBEsol was carried out for crystalline LaInPd2 at its relaxed geometry.

Cell lengths 4.6205, 4.6205, 9.1897 Å; angles 90.00, 90.00, 120.00 degrees
Atoms (fractional coordinates):
La 0.6667 0.3333 0.7500
La 0.3333 0.6667 0.2500
In 0.0000 0.0000 0.5000
In 0.0000 0.0000 0.0000
Pd 0.3333 0.6667 0.5789
Pd 0.6667 0.3333 0.0789
Pd 0.3333 0.6667 0.9211
Pd 0.6667 0.3333 0.4211

Values from the calculation:
As for the symmetry: P6_3/mmc (194). The value obtained for the density of states at the Fermi level is 4.0 states/eV/cell. The calculation puts the total energy at -23.387 eV/f.u.

A plane-wave DFT calculation with GGA-PBEsol was carried out for crystalline SrSe2Cl at its relaxed geometry.

Cell lengths 4.3062, 4.3062, 5.7738 Å; angles 90.00, 90.00, 90.00 degrees
Atoms (fractional coordinates):
Sr 0.5000 0.5000 0.0000
Se 0.0000 0.0000 0.7972
Se 0.0000 0.0000 0.2028
Cl 0.5000 0.5000 0.5000

Values from the calculation:
As for the symmetry: P4/mmm (123). The value obtained for the density of states at the Fermi level is 5.1 states/eV/cell. Its energy above the most stable polymorph in this dataset is 0.2317 eV per atom.

A plane-wave DFT calculation with GGA-PBEsol was carried out for crystalline In2HgBr at its relaxed geometry.

Cell lengths 5.3051, 5.3051, 5.3051 Å; angles 60.00, 60.00, 60.00 degrees
Atoms (fractional coordinates):
Hg 0.5000 0.5000 0.5000
Br 0.0000 0.0000 0.0000
In 0.2500 0.2500 0.2500
In 0.7500 0.7500 0.7500

Values from the calculation:
As for the symmetry: Fm-3m (225). The value obtained for the density of states at the Fermi level is 2.7 states/eV/cell. Its energy above the most stable polymorph in this dataset is 0.1044 eV per atom.